Entry from Alexandria via LeMat-Bulk: a geometry-optimized Tl2VSnO4 structure (GGA+U).

Output
Spin magnetization ... 0.000 μB/atom
E_tot ... -46.04 eV/f.u.

a = 7.4573 Å, b = 7.8394 Å, c = 5.5399 Å
α = 90.00°, β = 90.00°, γ = 90.00°
Fractional coordinates of all 16 atoms:
Tl: 0.2301 0.1293 0.0000
Tl: 0.2699 0.8707 0.5000
Tl: 0.7301 0.8707 0.5000
Tl: 0.7699 0.1293 0.0000
V: 0.0000 0.4103 0.4821
V: 0.5000 0.5897 0.9821
Sn: 0.0000 0.7120 0.0072
Sn: 0.5000 0.2880 0.5072
O: 0.0000 0.4670 0.1724
O: 0.0000 0.6014 0.6499
O: 0.1893 0.2900 0.5508
O: 0.3107 0.7100 0.0508
O: 0.5000 0.3986 0.1499
O: 0.5000 0.5330 0.6724
O: 0.6893 0.7100 0.0508
O: 0.8107 0.2900 0.5508